1.
First-principles (GGA-PBEsol) data for a relaxed structure of MnBeAg2, as listed in Alexandria.

Geometry as POSCAR:
```
MnBeAg2
1.0
2.760 0.000 0.000
0.000 2.760 0.000
0.000 0.000 7.008
Be Mn Ag
1 1 2
Cartesian
0.000 0.000 3.635 Be
1.380 1.380 4.942 Mn
0.000 0.000 6.899 Ag
1.380 1.380 2.044 Ag
```

Results
magnetic moment: 2.93 μB/f.u.
calculated volume: 53.4 Å³ per cell
formation enthalpy at 0 K: 0.7 eV/f.u.

2.
First-principles (GGA-PBEsol) data for a relaxed structure of ZnCuB3, as listed in Alexandria.

Geometry as POSCAR:
```
ZnCuB3
1.0
3.930 0.000 0.000
0.000 3.930 0.000
0.000 0.000 3.930
Zn B Cu
1 3 1
Cartesian
0.000 0.000 0.000 Zn
0.000 1.965 0.000 B
0.000 0.000 1.965 B
1.965 0.000 0.000 B
1.965 1.965 1.965 Cu
```

Results
magnetic moment: 0.00 μB/f.u.
calculated volume: 60.7 Å³ per cell
formation enthalpy at 0 K: 10.1 eV/f.u.

3.
First-principles (GGA-PBEsol) data for a relaxed structure of CaGaRe3, as listed in Alexandria.

Geometry as POSCAR:
```
CaGaRe3
1.0
-4.477 -0.759 -0.006
0.220 -1.261 -4.357
0.727 -4.296 1.280
Re Ca Ga
3 1 1
Cartesian
0.110 -0.630 -2.178 Re
0.363 -2.148 0.640 Re
-2.238 -0.380 -0.003 Re
0.000 0.000 0.000 Ca
-1.765 -3.158 -1.542 Ga
```

Results
magnetic moment: 0.00 μB/f.u.
calculated volume: 93.6 Å³ per cell
formation enthalpy at 0 K: 16.4 eV/f.u.

4.
First-principles (GGA-PBEsol) data for a relaxed structure of LiP2, as listed in Alexandria.

Geometry as POSCAR:
```
LiP2
1.0
-2.003 -0.109 1.653
0.743 -2.135 -1.284
4.522 -1.656 5.368
P Li
2 1
Cartesian
1.141 -1.940 1.255 P
2.120 -1.959 4.483 P
0.000 0.000 0.000 Li
```

Results
magnetic moment: 0.00 μB/f.u.
calculated volume: 42.2 Å³ per cell
formation enthalpy at 0 K: 0.5 eV/f.u.

5.
First-principles (GGA-PBEsol) data for a relaxed structure of Ag2GeBi2, as listed in Alexandria.

Geometry as POSCAR:
```
Ag2GeBi2
1.0
-1.328 3.965 -1.507
-4.002 -0.647 1.824
4.717 1.113 5.328
Ge Bi Ag
1 2 2
Cartesian
0.000 0.000 0.000 Ge
-0.975 1.063 3.655 Bi
0.362 3.369 1.989 Bi
1.645 2.223 4.400 Ag
-2.259 2.208 1.244 Ag
```

Results
magnetic moment: 0.00 μB/f.u.
calculated volume: 128.0 Å³ per cell
formation enthalpy at 0 K: 2.3 eV/f.u.

6.
First-principles (GGA-PBEsol) data for a relaxed structure of KNaMg5Si12O30, as listed in Alexandria.

Geometry as POSCAR:
```
KNaMg5Si12O30
1.0
-2.399 2.749 -9.535
0.382 -9.886 2.519
-13.882 0.382 3.602
K Na Mg Si O
2 2 10 24 60
Cartesian
-6.941 0.191 1.801 K
0.000 0.000 0.000 K
-11.883 -1.177 -2.815 Na
-4.015 -5.579 -0.598 Na
-6.748 -4.806 3.074 Mg
-1.523 -1.461 -5.503 Mg
-7.938 -3.338 -1.668 Mg
-8.361 -1.273 -3.729 Mg
-1.212 1.389 -4.820 Mg
-8.153 1.580 -3.019 Mg
-14.375 -5.294 2.090 Mg
-0.997 -3.529 -3.469 Mg
-7.537 -5.482 0.316 Mg
0.193 -4.997 1.273 Mg
-13.816 -3.652 -3.687 Si
-10.747 -3.737 -4.483 Si
-6.577 -4.161 -4.323 Si
-3.517 -4.245 -5.117 Si
-3.974 0.118 -7.339 Si
-7.034 0.203 -6.545 Si
-13.737 1.275 -3.901 Si
-10.667 1.191 -4.698 Si
-9.630 -1.110 -0.459 Si
-12.700 -1.026 0.337 Si
-3.153 -6.894 -3.454 Si
-6.223 -6.810 -2.657 Si
-2.746 -0.102 -2.583 Si
-5.805 -0.018 -1.789 Si
-10.141 -5.495 -1.941 Si
-13.201 -5.411 -1.147 Si
-12.178 -7.771 3.044 Si
-9.118 -7.855 2.250 Si
-1.924 -7.190 1.315 Si
-4.993 -7.105 2.111 Si
-5.434 -2.695 -0.054 Si
-2.364 -2.779 -0.850 Si
-12.079 -2.856 2.902 Si
-9.020 -2.940 2.108 Si
-7.269 -4.341 -5.797 O
-3.639 -4.440 -6.739 O
-13.927 -4.735 -2.467 O
-10.114 -4.840 -3.457 O
-12.229 -3.294 -3.923 O
-14.600 -2.281 -3.433 O
-9.869 -2.411 -4.660 O
-4.982 -3.929 -4.497 O
-2.958 -1.042 -6.935 O
-7.784 -0.909 -5.683 O
-2.439 -3.141 -4.715 O
-7.265 -3.009 -3.462 O
-14.502 0.834 -5.276 O
-10.690 0.729 -6.265 O
-5.482 -0.178 -6.823 O
-12.145 0.886 -4.043 O
-3.491 1.590 -6.806 O
-7.121 1.689 -5.865 O
-9.116 -1.765 -1.825 O
-13.846 -1.635 -0.598 O
-14.298 0.581 -2.574 O
-9.568 0.451 -3.801 O
-9.953 -7.098 -2.220 O
-13.583 -6.998 -1.278 O
-11.275 -1.122 -0.479 O
-2.191 -0.118 -4.077 O
-7.017 0.015 -2.825 O
-4.363 0.005 -2.528 O
-3.020 -5.729 -4.592 O
-6.832 -5.624 -3.602 O
-2.252 -1.401 -1.716 O
-5.882 -1.301 -0.774 O
-4.582 -6.691 -2.665 O
-1.983 -6.897 -2.363 O
-6.714 -6.767 -1.135 O
-11.595 -5.227 -1.276 O
-9.126 0.424 -0.207 O
-12.939 0.528 0.782 O
-13.325 -7.076 2.183 O
-8.499 -7.208 0.931 O
-8.954 -4.884 -1.069 O
-13.780 -4.751 0.183 O
-1.713 -8.712 0.759 O
-5.526 -8.607 1.748 O
-10.729 -7.685 2.322 O
-3.538 -6.877 1.380 O
-12.072 -7.158 4.560 O
-8.442 -7.258 3.618 O
-1.730 -3.980 -1.695 O
-6.460 -3.850 -0.467 O
-1.237 -6.054 0.422 O
-5.968 -5.924 1.649 O
-3.926 -3.167 -0.510 O
-13.001 -4.138 3.120 O
-8.175 -4.271 1.868 O
-10.545 -3.253 2.563 O
-12.658 -1.858 1.740 O
-9.028 -1.958 0.798 O
-5.407 -2.348 1.543 O
-1.594 -2.453 0.554 O
```

Results
magnetic moment: 0.00 μB/f.u.
calculated volume: 1294.8 Å³ per cell
uncorrected formation energy: -2.79 eV per atom

7.
First-principles (GGA-PBEsol) data for a relaxed structure of HfIrO2, as listed in Alexandria.

Geometry as POSCAR:
```
HfIrO2
1.0
3.294 0.000 0.000
1.647 2.853 0.000
1.647 0.951 5.696
Ir Hf O
1 1 2
Cartesian
0.000 0.000 0.000 Ir
3.294 1.902 2.848 Hf
4.941 2.853 2.019 O
1.647 0.951 3.677 O
```

Results
magnetic moment: 0.00 μB/f.u.
calculated volume: 53.5 Å³ per cell
uncorrected formation energy: -1.70 eV per atom

8.
First-principles (GGA-PBEsol) data for a relaxed structure of BaPdN2O, as listed in Alexandria.

Geometry as POSCAR:
```
BaPdN2O
1.0
3.962 0.000 0.000
0.000 3.962 0.000
0.000 0.000 4.444
O Ba Pd N
1 1 1 2
Cartesian
0.000 0.000 2.222 O
1.981 1.981 2.222 Ba
0.000 0.000 0.000 Pd
0.000 1.981 0.000 N
1.981 0.000 0.000 N
```

Results
magnetic moment: 2.78 μB/f.u.
calculated volume: 69.8 Å³ per cell
uncorrected formation energy: 0.06 eV per atom